[1]
The following is a PBE calculation of TlNi after structural relaxation, from Alexandria via LeMat-Bulk.

## Properties
Total energy   -3.50 eV/atom
Space-group type   P6_3/mmc, No. 194

abc: 4.5536 4.5536 5.1684
angles: 90.00 90.00 120.00
With the nearest neighbours (Å) after each atom.
Sites, in units of the cell vectors:
Tl (0.3333, 0.6667, 0.2500)  5 Ni 2.58-2.63
Tl (0.6667, 0.3333, 0.7500)  5 Ni 2.58-2.63
Ni (0.3333, 0.6667, 0.7500)  5 Tl 2.58-2.63
Ni (0.6667, 0.3333, 0.2500)  5 Tl 2.58-2.63

[2]
The following is a PBE calculation of TlNi4 after structural relaxation, from Alexandria via LeMat-Bulk.

## Properties
Offset from the most stable computed form   0 meV per atom
Space-group type   I4/m, No. 87

abc: 4.5781 4.5781 4.5781
angles: 99.55 99.55 131.93
With the nearest neighbours (Å) after each atom.
Sites, in units of the cell vectors:
Tl (0.0000, 0.0000, 0.0000)  12 Ni 2.66-2.68
Ni (0.1868, 0.4099, 0.5967)  7 Ni 2.45-2.73, 3 Tl 2.66-2.68
Ni (0.4099, 0.8132, 0.2231)  7 Ni 2.45-2.73, 3 Tl 2.66-2.68
Ni (0.5901, 0.1868, 0.7769)  7 Ni 2.45-2.73, 3 Tl 2.66-2.68
Ni (0.8132, 0.5901, 0.4033)  7 Ni 2.45-2.73, 3 Tl 2.66-2.68